(1)
# BaFeAs2

Crystalline BaFeAs2 at its relaxed geometry (PBE-GGA, Alexandria via LeMat-Bulk).

```
data_BaFeAs2
_space_group_name_H-M_alt 'P 1'
_space_group_IT_number 1
_space_group_name_Hall 'P 1'
_cell_length_a 4.683
_cell_length_b 4.683
_cell_length_c 4.413
_cell_angle_alpha 90.00
_cell_angle_beta 90.00
_cell_angle_gamma 90.00
loop_
_atom_site_label
_atom_site_fract_x
_atom_site_fract_y
_atom_site_fract_z
Ba1 0.000 0.000 0.000
Fe1 0.500 0.500 0.000
As1 0.000 0.500 0.500
As2 0.500 0.000 0.500
```

ΔH_f (0 K): 0.22 eV/atom
theoretical density: 5.884 g cm⁻³
V: 97 Å³ per cell
space-group type: P4/mmm
E_tot: -18.80 eV/f.u.



(2)
# Ba2FeAs

Crystalline Ba2FeAs at its relaxed geometry (PBE-GGA, Alexandria via LeMat-Bulk).

```
data_Ba2FeAs
_space_group_name_H-M_alt 'P 1'
_space_group_IT_number 1
_space_group_name_Hall 'P 1'
_cell_length_a 3.714
_cell_length_b 3.714
_cell_length_c 9.425
_cell_angle_alpha 90.00
_cell_angle_beta 90.00
_cell_angle_gamma 90.00
loop_
_atom_site_label
_atom_site_fract_x
_atom_site_fract_y
_atom_site_fract_z
Ba1 0.000 0.000 0.000
Ba2 0.500 0.500 0.433
Fe1 0.000 0.000 0.690
As1 0.500 0.500 0.764
```

ΔH_f (0 K): 0.06 eV/atom
theoretical density: 5.178 g cm⁻³
V: 130 Å³ per cell
space-group type: P4mm
E_tot: -16.71 eV/f.u.